## CeNdH8Ir2 (PBE)

Data for crystalline CeNdH8Ir2 at its relaxed geometry.

Summary:
- Calculated total energy: -4.881 eV/atom
- Space-group type: R-3m (166)
- DOS(E_F): 8.25 states/eV/f.u.

Geometry as POSCAR:
```
CeNdH8Ir2
1.0
4.668 0.000 0.000
2.334 4.043 0.000
2.334 1.348 6.599
H Nd Ir Ce
8 1 2 1
Cartesian
5.763 2.063 1.096
3.573 3.327 5.503
4.668 1.430 5.503
5.763 3.327 5.503
2.334 1.348 3.705
3.573 2.063 1.096
4.668 3.960 1.096
7.002 4.043 2.895
0.000 0.000 0.000
7.002 4.043 4.607
2.334 1.348 1.993
4.668 2.695 3.300
```